Entry 1:
VASP calculation (PBE-GGA) on a geometry-optimized GdTmTi4 structure.

The formation enthalpy at 0 K comes out at 224 meV per atom.

abc: 5.792 5.792 5.792
angles: 60.00 60.00 60.00
Positions (direct):
Gd 0.000 0.000 0.000
Tm 0.750 0.750 0.750
Ti 0.376 0.376 0.376
Ti 0.376 0.376 0.873
Ti 0.376 0.873 0.376
Ti 0.873 0.376 0.376


Entry 2:
VASP calculation (PBE-GGA) on a geometry-optimized Cr2TePt structure.

Its formation energy without anion corrections is 0.2643 eV/atom.

abc: 5.332 5.332 5.332
angles: 136.85 136.85 62.67
Positions (direct):
Cr 0.000 0.000 0.000
Cr 0.750 0.250 0.500
Te 0.250 0.750 0.500
Pt 0.500 0.500 0.000


Number 1: total DFT energy (no corrections) -8.131 eV per atom. Number 2: total DFT energy (no corrections) -6.843 eV per atom.